# K2LiTcF6 | the Open Quantum Materials Database | GGA-PBE | optimized geometry
# volume	12.65	Å³ per atom
# energy above the most stable polymorph in this dataset	1	meV per atom
# spin magnetization	4.001	Bohr magnetons per cell
data_K2LiTcF6
_chemical_formula_sum 'K4 Li2 Tc2 F12'
_space_group_name_H-M_alt 'P 1 21/c 1'
_space_group_IT_number 14
_cell_length_a 5.675
_cell_length_b 5.593
_cell_length_c 9.741
_cell_angle_alpha 90.00
_cell_angle_beta 125.12
_cell_angle_gamma 90.00
loop_
_space_group_symop_operation_xyz
'x,y,z'
'-x,-y,-z'
'-x,y+1/2,-z+1/2'
'x,-y+1/2,z+1/2'
loop_
_atom_site_label
_atom_site_type_symbol
_atom_site_fract_x
_atom_site_fract_y
_atom_site_fract_z
K1 K 0.246 0.014 0.248
Li1 Li 0.500 0.000 0.000
Tc1 Tc 0.000 0.000 0.500
F1 F 0.225 0.232 0.984
F2 F 0.263 0.734 0.993
F3 F 0.276 0.511 0.253



# K2LiTcF6 | the Open Quantum Materials Database | GGA-PBE | optimized geometry
# volume	12.65	Å³ per atom
# energy above the most stable polymorph in this dataset	4	meV per atom
# spin magnetization	4.001	Bohr magnetons per cell
data_K2LiTcF6
_chemical_formula_sum 'K4 Li2 Tc2 F12'
_space_group_name_H-M_alt 'I 4/m'
_space_group_IT_number 87
_space_group_name_Hall '-I 4'
_cell_length_a 5.601
_cell_length_b 5.601
_cell_length_c 8.063
_cell_angle_alpha 90.00
_cell_angle_beta 90.00
_cell_angle_gamma 90.00
loop_
_atom_site_label
_atom_site_type_symbol
_atom_site_fract_x
_atom_site_fract_y
_atom_site_fract_z
K1 K 0.000 0.500 0.250
Li1 Li 0.000 0.000 0.000
Tc1 Tc 0.000 0.000 0.500
F1 F 0.000 0.000 0.247
F2 F 0.234 0.259 0.000



# K2LiTcF6 | the Open Quantum Materials Database | GGA-PBE | optimized geometry
# volume	12.99	Å³ per atom
# energy above the most stable polymorph in this dataset	18	meV per atom
# spin magnetization	11.996	Bohr magnetons per cell
data_K2LiTcF6
_chemical_formula_sum 'K12 Li6 Tc6 F36'
_space_group_name_H-M_alt 'R -3 m'
_space_group_IT_number 166
_space_group_name_Hall '-R 3 2"'
_cell_length_a 5.6814
_cell_length_b 5.6814
_cell_length_c 27.8761
_cell_angle_alpha 90.00
_cell_angle_beta 90.00
_cell_angle_gamma 120.00
loop_
_atom_site_label
_atom_site_type_symbol
_atom_site_fract_x
_atom_site_fract_y
_atom_site_fract_z
K1 K 0.0000 0.0000 0.1272
K2 K 0.0000 0.0000 0.2853
Li1 Li 0.0000 0.0000 0.4078
Tc1 Tc 0.0000 0.0000 0.0000
Tc2 Tc 0.0000 0.0000 0.5000
F1 F 0.0003 0.5001 0.1243
F2 F 0.0021 0.5011 0.2918



# K2LiTcF6 | the Open Quantum Materials Database | GGA-PBE | optimized geometry
# volume	12.60	Å³ per atom
# energy above the most stable polymorph in this dataset	6	meV per atom
# spin magnetization	3.962	Bohr magnetons per cell
data_K2LiTcF6
_chemical_formula_sum 'K4 Li2 Tc2 F12'
_space_group_name_H-M_alt 'P -1'
_space_group_IT_number 2
_cell_length_a 5.604
_cell_length_b 5.644
_cell_length_c 7.968
_cell_angle_alpha 89.55
_cell_angle_beta 89.96
_cell_angle_gamma 89.99
loop_
_space_group_symop_operation_xyz
'x,y,z'
'-x,-y,-z'
loop_
_atom_site_label
_atom_site_type_symbol
_atom_site_fract_x
_atom_site_fract_y
_atom_site_fract_z
K1 K 0.000 0.001 0.251
K2 K 0.500 0.499 0.249
Li1 Li 0.000 0.500 0.500
Li2 Li 0.500 0.000 0.000
Tc1 Tc 0.000 0.500 0.000
Tc2 Tc 0.500 0.000 0.500
F1 F 0.000 0.500 0.254
F2 F 0.243 0.750 0.499
F3 F 0.251 0.244 0.999
F4 F 0.251 0.259 0.501
F5 F 0.255 0.752 0.001
F6 F 0.500 0.000 0.246



# KLiTmF5 | the Open Quantum Materials Database | GGA-PBE | optimized geometry
# energy	-180.45	eV per cell
# volume	12.40	Å³ per atom
# spin magnetization	0.006	Bohr magnetons per cell
data_KLiTmF5
_chemical_formula_sum 'K4 Li4 Tm4 F20'
_space_group_name_H-M_alt 'P 1 21/c 1'
_space_group_IT_number 14
_cell_length_a 6.258
_cell_length_b 11.356
_cell_length_c 6.062
_cell_angle_alpha 90.00
_cell_angle_beta 112.90
_cell_angle_gamma 90.00
loop_
_space_group_symop_operation_xyz
'x,y,z'
'-x,-y,-z'
'-x,y+1/2,-z+1/2'
'x,-y+1/2,z+1/2'
loop_
_atom_site_label
_atom_site_type_symbol
_atom_site_fract_x
_atom_site_fract_y
_atom_site_fract_z
K1 K 0.059 0.154 0.048
Li1 Li 0.428 0.739 0.541
Tm1 Tm 0.316 0.503 0.179
F1 F 0.047 0.513 0.823
F2 F 0.257 0.697 0.216
F3 F 0.288 0.174 0.782
F4 F 0.335 0.538 0.553
F5 F 0.460 0.108 0.460



# K2NbF5 | the Open Quantum Materials Database | GGA-PBE | optimized geometry
# energy	-169.57	eV per cell
# volume	15.01	Å³ per atom
# spin magnetization	8.004	Bohr magnetons per cell
data_K2NbF5
_chemical_formula_sum 'K8 Nb4 F20'
_space_group_name_H-M_alt 'C m c m'
_space_group_IT_number 63
_space_group_name_Hall '-C 2c 2'
_cell_length_a 6.152
_cell_length_b 12.604
_cell_length_c 6.196
_cell_angle_alpha 90.00
_cell_angle_beta 90.00
_cell_angle_gamma 90.00
loop_
_atom_site_label
_atom_site_type_symbol
_atom_site_fract_x
_atom_site_fract_y
_atom_site_fract_z
K1 K 0.000 0.037 0.250
K2 K 0.000 0.254 0.750
Nb1 Nb 0.000 0.404 0.250
F1 F 0.000 0.244 0.250
F2 F 0.238 0.391 0.021



# K5Nb4O12F | the Open Quantum Materials Database | GGA-PBE | optimized geometry
# energy	-323.02	eV per cell
# volume	16.10	Å³ per atom
# spin magnetization	0.005	Bohr magnetons per cell
data_K5Nb4O12F
_chemical_formula_sum 'K10 Nb8 O24 F2'
_space_group_name_H-M_alt 'P 1 21/c 1'
_space_group_IT_number 14
_cell_length_a 5.109
_cell_length_b 11.765
_cell_length_c 12.593
_cell_angle_alpha 90.00
_cell_angle_beta 110.64
_cell_angle_gamma 90.00
loop_
_space_group_symop_operation_xyz
'x,y,z'
'-x,-y,-z'
'-x,y+1/2,-z+1/2'
'x,-y+1/2,z+1/2'
loop_
_atom_site_label
_atom_site_type_symbol
_atom_site_fract_x
_atom_site_fract_y
_atom_site_fract_z
K1 K 0.000 0.000 0.000
K2 K 0.270 0.143 0.829
K3 K 0.412 0.671 0.353
Nb1 Nb 0.066 0.645 0.024
Nb2 Nb 0.329 0.012 0.353
O1 O 0.001 0.604 0.174
O2 O 0.083 0.214 0.999
O3 O 0.150 0.631 0.881
O4 O 0.283 0.042 0.539
O5 O 0.322 0.524 0.713
O6 O 0.453 0.665 0.123
F1 F 0.500 0.000 0.000



# KSrNb2O6F | the Open Quantum Materials Database | GGA-PBE | optimized geometry
# energy	-340.68	eV per cell
# volume	14.89	Å³ per atom
# spin magnetization	0.002	Bohr magnetons per cell
data_KSrNb2O6F
_chemical_formula_sum 'K4 Sr4 Nb8 O24 F4'
_space_group_name_H-M_alt 'I m m m'
_space_group_IT_number 71
_space_group_name_Hall '-I 2 2'
_cell_length_a 3.871
_cell_length_b 7.715
_cell_length_c 21.940
_cell_angle_alpha 90.00
_cell_angle_beta 90.00
_cell_angle_gamma 90.00
loop_
_atom_site_label
_atom_site_type_symbol
_atom_site_fract_x
_atom_site_fract_y
_atom_site_fract_z
K1 K 0.000 0.000 0.236
Sr1 Sr 0.000 0.000 0.000
Sr2 Sr 0.000 0.500 0.000
Nb1 Nb 0.000 0.254 0.390
O1 O 0.000 0.000 0.404
O2 O 0.000 0.248 0.086
O3 O 0.000 0.280 0.309
O4 O 0.000 0.500 0.420
F1 F 0.000 0.226 0.500



# K3NpF8 | the Open Quantum Materials Database | GGA-PBE | optimized geometry
# energy	-136.47	eV per cell
# volume	15.65	Å³ per atom
# spin magnetization	3.999	Bohr magnetons per cell
data_K3NpF8
_chemical_formula_sum 'K6 Np2 F16'
_space_group_name_H-M_alt 'I 4/m m m'
_space_group_IT_number 139
_space_group_name_Hall '-I 4 2'
_cell_length_a 5.751
_cell_length_b 5.751
_cell_length_c 11.358
_cell_angle_alpha 90.00
_cell_angle_beta 90.00
_cell_angle_gamma 90.00
loop_
_atom_site_label
_atom_site_type_symbol
_atom_site_fract_x
_atom_site_fract_y
_atom_site_fract_z
K1 K 0.000 0.000 0.000
K2 K 0.000 0.500 0.250
Np1 Np 0.000 0.000 0.500
F1 F 0.219 0.219 0.389



# KNpF5 | the Open Quantum Materials Database | GGA-PBE | optimized geometry
# energy	-182.78	eV per cell
# volume	14.32	Å³ per atom
# spin magnetization	11.989	Bohr magnetons per cell
data_KNpF5
_chemical_formula_sum 'K4 Np4 F20'
_space_group_name_H-M_alt 'C 1 2/c 1'
_space_group_IT_number 15
_cell_length_a 8.039
_cell_length_b 5.839
_cell_length_c 9.037
_cell_angle_alpha 90.00
_cell_angle_beta 108.99
_cell_angle_gamma 90.00
loop_
_space_group_symop_operation_xyz
'x,y,z'
'-x,-y,-z'
'-x,y,-z+1/2'
'x,-y,z+1/2'
'x+1/2,y+1/2,z'
'-x+1/2,-y+1/2,-z'
'-x+1/2,y+1/2,-z+1/2'
'x+1/2,-y+1/2,z+1/2'
loop_
_atom_site_label
_atom_site_type_symbol
_atom_site_fract_x
_atom_site_fract_y
_atom_site_fract_z
K1 K 0.000 0.030 0.250
Np1 Np 0.000 0.500 0.000
F1 F 0.000 0.480 0.750
F2 F 0.126 0.176 0.546
F3 F 0.220 0.304 0.130



# KNpF4 | the Open Quantum Materials Database | GGA-PBE | optimized geometry
# volume	15.82	Å³ per atom
# energy above the most stable polymorph in this dataset	32	meV per atom
# spin magnetization	8.002	Bohr magnetons per cell
data_KNpF4
_chemical_formula_sum 'K2 Np2 F8'
_space_group_name_H-M_alt 'P m m n'
_space_group_IT_number 59
_cell_length_a 4.085
_cell_length_b 5.812
_cell_length_c 7.995
_cell_angle_alpha 90.00
_cell_angle_beta 90.00
_cell_angle_gamma 90.00
loop_
_space_group_symop_operation_xyz
'x,y,z'
'-x,-y,-z'
'-x+1/2,-y+1/2,z'
'x+1/2,y+1/2,-z'
'x+1/2,-y,-z'
'-x+1/2,y,z'
'-x,y+1/2,-z'
'x,-y+1/2,z'
loop_
_atom_site_label
_atom_site_type_symbol
_atom_site_fract_x
_atom_site_fract_y
_atom_site_fract_z
K1 K 0.250 0.250 0.116
Np1 Np 0.250 0.250 0.628
F1 F 0.250 0.013 0.844
F2 F 0.250 0.519 0.394



# KNpF4 | the Open Quantum Materials Database | GGA-PBE | optimized geometry
# volume	15.69	Å³ per atom
# energy above the most stable polymorph in this dataset	0	meV per atom
# spin magnetization	8.000	Bohr magnetons per cell
data_KNpF4
_chemical_formula_sum 'K2 Np2 F8'
_space_group_name_H-M_alt 'C m m m'
_space_group_IT_number 65
_space_group_name_Hall '-C 2 2'
_cell_length_a 5.556
_cell_length_b 5.629
_cell_length_c 6.022
_cell_angle_alpha 90.00
_cell_angle_beta 90.00
_cell_angle_gamma 90.00
loop_
_atom_site_label
_atom_site_type_symbol
_atom_site_fract_x
_atom_site_fract_y
_atom_site_fract_z
K1 K 0.000 0.000 0.000
Np1 Np 0.000 0.500 0.500
F1 F 0.250 0.250 0.281



# K5Pr4Si4O16F | the Open Quantum Materials Database | GGA-PBE | optimized geometry
# energy	-427.90	eV per cell
# volume	13.99	Å³ per atom
# spin magnetization	0.033	Bohr magnetons per cell
data_K5Pr4Si4O16F
_chemical_formula_sum 'K10 Pr8 Si8 O32 F2'
_space_group_name_H-M_alt 'I -4'
_space_group_IT_number 82
_cell_length_a 12.347
_cell_length_b 12.347
_cell_length_c 5.505
_cell_angle_alpha 90.00
_cell_angle_beta 90.00
_cell_angle_gamma 90.00
loop_
_space_group_symop_operation_xyz
'x,y,z'
'y,-x,-z'
'-x,-y,z'
'-y,x,-z'
'x+1/2,y+1/2,z+1/2'
'y+1/2,-x+1/2,-z+1/2'
'-x+1/2,-y+1/2,z+1/2'
'-y+1/2,x+1/2,-z+1/2'
loop_
_atom_site_label
_atom_site_type_symbol
_atom_site_fract_x
_atom_site_fract_y
_atom_site_fract_z
K1 K 0.000 0.000 0.000
K2 K 0.092 0.602 0.501
Pr1 Pr 0.118 0.184 0.483
Si1 Si 0.104 0.754 0.991
O1 O 0.035 0.795 0.753
O2 O 0.050 0.803 0.241
O3 O 0.116 0.622 0.004
O4 O 0.199 0.227 0.055
F1 F 0.000 0.000 0.500



# K3ReO3F3 | the Open Quantum Materials Database | GGA-PBE | optimized geometry
# energy	-174.30	eV per cell
# volume	16.18	Å³ per atom
# spin magnetization	3.000	Bohr magnetons per cell
data_K3ReO3F3
_chemical_formula_sum 'K9 Re3 O9 F9'
_space_group_name_H-M_alt 'R 3'
_space_group_IT_number 146
_space_group_name_Hall 'R 3'
_cell_length_a 6.1611
_cell_length_b 6.1611
_cell_length_c 14.7640
_cell_angle_alpha 90.00
_cell_angle_beta 90.00
_cell_angle_gamma 120.00
loop_
_atom_site_label
_atom_site_type_symbol
_atom_site_fract_x
_atom_site_fract_y
_atom_site_fract_z
K1 K 0.0000 0.0000 0.0000
K2 K 0.0000 0.0000 0.2416
K3 K 0.0000 0.0000 0.5053
Re1 Re 0.0000 0.0000 0.7535
O1 O 0.0434 0.4402 0.4706
F1 F 0.1088 0.7212 0.3257



# KReO2F | the Open Quantum Materials Database | GGA-PBE | optimized geometry
# energy	-64.13	eV per cell
# volume	17.12	Å³ per atom
# spin magnetization	0.004	Bohr magnetons per cell
data_KReO2F
_chemical_formula_sum 'K2 Re2 O4 F2'
_space_group_name_H-M_alt 'P 1 21/m 1'
_space_group_IT_number 11
_cell_length_a 4.743
_cell_length_b 5.951
_cell_length_c 6.266
_cell_angle_alpha 90.00
_cell_angle_beta 104.55
_cell_angle_gamma 90.00
loop_
_space_group_symop_operation_xyz
'x,y,z'
'-x,-y,-z'
'-x,y+1/2,-z'
'x,-y+1/2,z'
loop_
_atom_site_label
_atom_site_type_symbol
_atom_site_fract_x
_atom_site_fract_y
_atom_site_fract_z
K1 K 0.181 0.250 0.314
Re1 Re 0.475 0.250 0.842
O1 O 0.318 0.510 0.750
F1 F 0.102 0.750 0.092



# KRe2O4F7 | the Open Quantum Materials Database | GGA-PBE | optimized geometry
# energy	-174.72	eV per cell
# volume	12.25	Å³ per atom
# spin magnetization	0.001	Bohr magnetons per cell
data_KRe2O4F7
_chemical_formula_sum 'K2 Re4 O8 F14'
_space_group_name_H-M_alt 'P 1 2/c 1'
_space_group_IT_number 13
_cell_length_a 5.156
_cell_length_b 4.767
_cell_length_c 14.426
_cell_angle_alpha 90.00
_cell_angle_beta 104.71
_cell_angle_gamma 90.00
loop_
_space_group_symop_operation_xyz
'x,y,z'
'-x,-y,-z'
'-x,y,-z+1/2'
'x,-y,z+1/2'
loop_
_atom_site_label
_atom_site_type_symbol
_atom_site_fract_x
_atom_site_fract_y
_atom_site_fract_z
K1 K 0.000 0.155 0.250
Re1 Re 0.371 0.255 0.606
O1 O 0.242 0.399 0.496
O2 O 0.347 0.086 0.908
F1 F 0.099 0.379 0.669
F2 F 0.162 0.074 0.089
F3 F 0.442 0.428 0.335
F4 F 0.500 0.087 0.750